# YMg2InSn

YMg2InSn after structural relaxation (PBE, Alexandria via LeMat-Bulk).

Summary:
The value obtained for the volume is 274.2 Å³/cell. The formation energy comes out at -0.21 eV/atom. As for the crystal system: orthorhombic. The value obtained for the total DFT energy (no corrections) is -3.489 eV/atom.

Cell and atoms, written as POSCAR:
```
YMg2InSn
1.0
1.760 -8.781 0.000
1.760 8.781 0.000
0.000 0.000 8.873
Y Mg In Sn
2 4 2 2
Direct
0.088 0.912 0.750
0.912 0.088 0.250
0.335 0.665 0.553
0.335 0.665 0.947
0.665 0.335 0.053
0.665 0.335 0.447
0.500 0.500 0.000
0.500 0.500 0.500
0.256 0.744 0.250
0.744 0.256 0.750
```